Ac3Tl2InPd6: optimized geometry, PBE-GGA.

Summary:
- ΔH_f (0 K): -7.8 eV/f.u.
- Crystal system: trigonal
- Space-group type: No. 164
- Total magnetization: 0.0 μB/cell

a b c (Å): 6.0443 6.0443 9.1229
angles (deg): 90.00 90.00 120.00
Positions (direct):
Ac: 0.0000 0.0000 0.0000
Ac: 0.3333 0.6667 0.6204
Ac: 0.6667 0.3333 0.3796
Tl: 0.3333 0.6667 0.0085
Tl: 0.6667 0.3333 0.9915
In: 0.0000 0.0000 0.5000
Pd: 0.1770 0.3540 0.2815
Pd: 0.1770 0.8230 0.2815
Pd: 0.3540 0.1770 0.7185
Pd: 0.6460 0.8230 0.2815
Pd: 0.8230 0.1770 0.7185
Pd: 0.8230 0.6460 0.7185